Below is a relaxed SmP2Rh2 crystal, with properties calculated at the PBE level.

Output
Formation energy in eV/atom: -0.93
Theoretical density in g cm⁻³: 7.51

Structure (POSCAR):
```
SmP2Rh2
1.0
3.8622 -4.9223 0.0000
3.8622 4.9223 0.0000
-3.8454 0.0000 4.8602
Sm P Rh
2 4 4
direct
0.1251 0.8749 0.7500
0.8749 0.1251 0.2500
0.1768 0.8232 0.2500
0.4273 0.5727 0.7500
0.5727 0.4273 0.2500
0.8232 0.1768 0.7500
0.2335 0.4841 0.9684
0.4841 0.2335 0.4684
0.5159 0.7665 0.5316
0.7665 0.5159 0.0316
```

Below is a relaxed Sm4P6Rh7 crystal, with properties calculated at the PBE level.

Output
Formation energy in eV/atom: -1.05
Theoretical density in g cm⁻³: 8.74

Structure (POSCAR):
```
Sm4P6Rh7
1.0
-4.1527 4.1527 4.1527
4.1527 -4.1527 4.1527
4.1527 4.1527 -4.1527
Sm P Rh
4 6 7
direct
0.0000 0.0000 0.5000
0.0000 0.5000 0.0000
0.5000 0.0000 0.0000
0.5000 0.5000 0.5000
0.0000 0.3283 0.3283
0.0000 0.6717 0.6717
0.3283 0.0000 0.3283
0.3283 0.3283 0.0000
0.6717 0.0000 0.6717
0.6717 0.6717 0.0000
0.0000 0.0000 0.0000
0.2500 0.5000 0.7500
0.2500 0.7500 0.5000
0.5000 0.2500 0.7500
0.5000 0.7500 0.2500
0.7500 0.2500 0.5000
0.7500 0.5000 0.2500
```

Below is a relaxed SmPRh3 crystal, with properties calculated at the PBE level.

Output
Excess energy over the best structure of this formula in the dataset in eV/atom: 0.158
Formation energy in eV/atom: -0.74
Theoretical density in g cm⁻³: 9.01

Structure (POSCAR):
```
SmPRh3
1.0
-3.1640 4.5968 3.1050
3.1640 -4.5968 3.1050
3.1640 4.5968 -3.1050
Sm P Rh
2 2 6
direct
0.2831 0.0331 0.2500
0.7169 0.9669 0.7500
0.0000 0.5000 0.5000
0.5000 0.5000 0.0000
0.2053 0.4553 0.7500
0.2133 0.0000 0.7133
0.2133 0.5000 0.2133
0.7867 0.0000 0.2867
0.7867 0.5000 0.7867
0.7947 0.5447 0.2500
```

Below is a relaxed Sm2P3Rh6 crystal, with properties calculated at the PBE level.

Output
Formation energy in eV/atom: -0.90
Theoretical density in g cm⁻³: 9.15

Structure (POSCAR):
```
Sm2P3Rh6
1.0
7.1266 0.0000 0.0000
-3.5633 6.1718 0.0000
0.0000 0.0000 4.1734
Sm P Rh
2 3 6
direct
0.3333 0.6667 0.0000
0.6667 0.3333 0.0000
0.0000 0.6232 0.5000
0.3768 0.3768 0.5000
0.6232 0.0000 0.5000
0.0000 0.2915 0.5000
0.0000 0.7798 0.0000
0.2202 0.2202 0.0000
0.2915 0.0000 0.5000
0.7085 0.7085 0.5000
0.7798 0.0000 0.0000
```

Below is a relaxed Sm3P4Rh7 crystal, with properties calculated at the PBE level.

Output
Formation energy in eV/atom: -1.03
Theoretical density in g cm⁻³: 9.36

Structure (POSCAR):
```
Sm3P4Rh7
1.0
7.5703 -1.9945 0.0000
7.5703 1.9945 0.0000
-5.3171 0.0000 7.6085
Sm P Rh
3 4 7
direct
0.0000 0.0000 0.0000
0.3282 0.3282 0.3302
0.6718 0.6718 0.6698
0.1091 0.1091 0.8271
0.3338 0.3338 0.7232
0.6662 0.6662 0.2768
0.8909 0.8909 0.1729
0.0000 0.0000 0.5000
0.1687 0.1687 0.4208
0.3018 0.3018 0.9544
0.4940 0.4940 0.7304
0.5060 0.5060 0.2696
0.6982 0.6982 0.0456
0.8313 0.8313 0.5792
```

Below is a relaxed Sm3PRh3 crystal, with properties calculated at the PBE level.

Output
Formation energy in eV/atom: -0.90
Theoretical density in g cm⁻³: 8.92

Structure (POSCAR):
```
Sm3PRh3
1.0
5.2447 -2.0180 0.0000
5.2447 2.0180 0.0000
-4.6382 0.0000 13.9079
Sm P Rh
6 2 6
direct
0.0155 0.0155 0.3829
0.1080 0.1080 0.9248
0.2401 0.2401 0.2273
0.7599 0.7599 0.7727
0.8920 0.8920 0.0752
0.9845 0.9845 0.6171
0.2638 0.2638 0.6148
0.7362 0.7362 0.3852
0.3195 0.3195 0.4646
0.3809 0.3809 0.9231
0.4641 0.4641 0.7590
0.5359 0.5359 0.2410
0.6191 0.6191 0.0769
0.6805 0.6805 0.5354
```

Below is a relaxed SmP3Rh4 crystal, with properties calculated at the PBE level.

Output
Formation energy in eV/atom: -0.95
Theoretical density in g cm⁻³: 8.83

Structure (POSCAR):
```
SmP3Rh4
1.0
3.9907 0.0000 0.0000
0.0000 3.9907 0.0000
0.0000 0.0000 7.7363
Sm P Rh
1 3 4
direct
0.0000 0.0000 0.0000
0.0000 0.0000 0.5000
0.5000 0.5000 0.1496
0.5000 0.5000 0.8504
0.0000 0.5000 0.3180
0.0000 0.5000 0.6820
0.5000 0.0000 0.3180
0.5000 0.0000 0.6820
```

Below is a relaxed Sm3P2Rh7 crystal, with properties calculated at the PBE level.

Output
Excess energy over the best structure of this formula in the dataset in eV/atom: 0.095
Formation energy in eV/atom: -0.73
Theoretical density in g cm⁻³: 9.20

Structure (POSCAR):
```
Sm3P2Rh7
1.0
2.0677 -13.1939 0.0000
2.0677 13.1939 0.0000
0.0000 0.0000 4.0804
Sm P Rh
3 2 7
direct
0.0000 0.0000 0.0000
0.1994 0.8006 0.0000
0.8006 0.1994 0.0000
0.4148 0.5852 0.5000
0.5852 0.4148 0.5000
0.1206 0.8794 0.5000
0.2936 0.7064 0.5000
0.3777 0.6223 0.0000
0.5000 0.5000 0.5000
0.6223 0.3777 0.0000
0.7064 0.2936 0.5000
0.8794 0.1206 0.5000
```

Below is a relaxed SmP2Rh5 crystal, with properties calculated at the PBE level.

Output
Formation energy in eV/atom: -0.84
Theoretical density in g cm⁻³: 9.62

Structure (POSCAR):
```
SmP2Rh5
1.0
-1.9594 3.3938 4.7170
1.9594 -3.3938 4.7170
1.9594 3.3938 -4.7170
Sm P Rh
1 2 5
direct
0.0000 0.0000 0.0000
0.2575 0.7575 0.5000
0.7425 0.2425 0.5000
0.1487 0.3500 0.7986
0.4486 0.6500 0.7986
0.5000 0.0000 0.5000
0.5514 0.3500 0.2014
0.8513 0.6500 0.2014
```

Below is a relaxed SmP2Rh4 crystal, with properties calculated at the PBE level.

Output
Formation energy in eV/atom: -0.89
Theoretical density in g cm⁻³: 9.52

Structure (POSCAR):
```
SmP2Rh4
1.0
7.6594 0.0000 0.0000
0.0000 7.6594 0.0000
0.0000 0.0000 3.7098
Sm P Rh
2 4 8
direct
0.0000 0.0000 0.0000
0.5000 0.5000 0.5000
0.2307 0.2307 0.5000
0.2693 0.7307 0.0000
0.7307 0.2693 0.0000
0.7693 0.7693 0.5000
0.0737 0.6751 0.5000
0.1751 0.4263 0.0000
0.3249 0.9263 0.5000
0.4263 0.1751 0.0000
0.5737 0.8249 0.0000
0.6751 0.0737 0.5000
0.8249 0.5737 0.0000
0.9263 0.3249 0.5000
```

Below is a relaxed SmP2Rh crystal, with properties calculated at the PBE level.

Output
Excess energy over the best structure of this formula in the dataset in eV/atom: 0.000
Formation energy in eV/atom: -1.04
Theoretical density in g cm⁻³: 6.94

Structure (POSCAR):
```
SmP2Rh
1.0
0.0000 2.7869 4.8598
2.7832 0.0000 4.8598
2.7832 2.7869 0.0000
Sm P Rh
1 2 1
direct
0.0000 0.0000 0.0000
0.3814 0.3814 0.6186
0.6186 0.6186 0.3814
0.2500 0.2500 0.2500
```

Below is a relaxed Sm3P2Rh7 crystal, with properties calculated at the PBE level.

Output
Excess energy over the best structure of this formula in the dataset in eV/atom: 0.000
Formation energy in eV/atom: -0.83
Theoretical density in g cm⁻³: 9.63

Structure (POSCAR):
```
Sm3P2Rh7
1.0
-2.0074 2.0074 13.1899
2.0074 -2.0074 13.1899
2.0074 2.0074 -13.1899
Sm P Rh
3 2 7
direct
0.0000 0.0000 0.0000
0.1739 0.1739 0.0000
0.8261 0.8261 0.0000
0.3717 0.3717 0.0000
0.6283 0.6283 0.0000
0.0835 0.5835 0.5000
0.2853 0.2853 0.0000
0.4165 0.9165 0.5000
0.5000 0.5000 0.0000
0.5835 0.0835 0.5000
0.7147 0.7147 0.0000
0.9165 0.4165 0.5000
```